Record 1
First-principles (GGA-PBE) data for a geometry-optimized CuB4Ir structure, as listed in OQMD via LeMat-Bulk.

Lattice parameters (Å, degrees): 3.0009 3.0009 6.9164 90.00 90.00 120.00
Space group P6/mmm (No. 191)
Inequivalent atoms, fractional coordinates:
Cu1 0.0000 0.0000 0.0000 x1
B1 0.3333 0.6667 0.2495 x4
Ir1 0.0000 0.0000 0.5000 x1

Properties
ΔE to the lowest computed polymorph	2.49	kcal/mol of atoms
magnetic moment	0.001	μB/atom



Record 2
First-principles (GGA-PBE) data for a geometry-optimized LuCuBIr structure, as listed in OQMD via LeMat-Bulk.

Lattice parameters (Å, degrees): 6.129 6.129 6.129 90.00 90.00 90.00
Space group F-43m (No. 216)
Inequivalent atoms, fractional coordinates:
Lu1 0.000 0.000 0.000 x4
Cu1 0.250 0.250 0.750 x4
B1 0.000 0.000 0.500 x4
Ir1 0.250 0.250 0.250 x4

Properties
ΔE to the lowest computed polymorph	0.00	kcal/mol of atoms
magnetic moment	0.000	μB/atom



Record 3
First-principles (GGA-PBE) data for a geometry-optimized LuCuBIr structure, as listed in OQMD via LeMat-Bulk.

Lattice parameters (Å, degrees): 6.222 6.222 6.222 90.00 90.00 90.00
Space group F-43m (No. 216)
Inequivalent atoms, fractional coordinates:
Lu1 0.000 0.000 0.000 x4
Cu1 0.000 0.000 0.500 x4
B1 0.250 0.250 0.250 x4
Ir1 0.250 0.250 0.750 x4

Properties
ΔE to the lowest computed polymorph	1.97	kcal/mol of atoms
magnetic moment	0.000	μB/atom



Record 4
First-principles (GGA-PBE) data for a geometry-optimized MgCuBIr structure, as listed in OQMD via LeMat-Bulk.

Lattice parameters (Å, degrees): 5.786 5.786 5.786 90.00 90.00 90.00
Space group F-43m (No. 216)
Inequivalent atoms, fractional coordinates:
Mg1 0.000 0.000 0.000 x4
Cu1 0.250 0.250 0.750 x4
B1 0.000 0.000 0.500 x4
Ir1 0.250 0.250 0.250 x4

Properties
ΔE to the lowest computed polymorph	0.00	kcal/mol of atoms
magnetic moment	0.001	μB/atom



Record 5
First-principles (GGA-PBE) data for a geometry-optimized NbCuBIr structure, as listed in OQMD via LeMat-Bulk.

Lattice parameters (Å, degrees): 5.851 5.851 5.851 90.00 90.00 90.00
Space group F-43m (No. 216)
Inequivalent atoms, fractional coordinates:
Nb1 0.000 0.000 0.000 x4
Cu1 0.250 0.250 0.750 x4
B1 0.250 0.250 0.250 x4
Ir1 0.000 0.000 0.500 x4

Properties
ΔE to the lowest computed polymorph	0.00	kcal/mol of atoms
magnetic moment	0.063	μB/atom



Record 6
First-principles (GGA-PBE) data for a geometry-optimized NbCuBIr structure, as listed in OQMD via LeMat-Bulk.

Lattice parameters (Å, degrees): 5.959 5.959 5.959 90.00 90.00 90.00
Space group F-43m (No. 216)
Inequivalent atoms, fractional coordinates:
Nb1 0.000 0.000 0.000 x4
Cu1 0.250 0.250 0.750 x4
B1 0.000 0.000 0.500 x4
Ir1 0.250 0.250 0.250 x4

Properties
ΔE to the lowest computed polymorph	4.50	kcal/mol of atoms
magnetic moment	0.000	μB/atom